A plane-wave DFT calculation with GGA+U was carried out for an optimized crystal structure of Li3Ga3CoO8.

Mass density ... 4.78 g cm⁻³
DFT total energy ... -0.419 Ry per atom

a b c (Å): 5.933 5.933 5.933
angles (deg): 59.14 59.14 59.14
Fractional coordinates of all 15 atoms:
Li  0.000  0.500  0.500
Li  0.500  0.000  0.500
Li  0.500  0.500  0.000
Ga  0.000  0.000  0.500
Ga  0.000  0.500  0.000
Ga  0.500  0.000  0.000
Co  0.500  0.500  0.500
O  0.241  0.241  0.241
O  0.256  0.729  0.729
O  0.271  0.271  0.744
O  0.271  0.744  0.271
O  0.729  0.256  0.729
O  0.729  0.729  0.256
O  0.744  0.271  0.271
O  0.759  0.759  0.759